No. 1
VASP calculation (PBE-GGA) on an optimized crystal structure of Be2CdTe.

a b c (Å): 6.0809 4.5599 3.7830
angles (deg): 78.07 71.81 122.50
Last column: nearest neighbours and their distance in Å.
Positions (direct):
Be 0.5000 0.0000 0.5000  2 Te 2.64, 2 Cd 2.64
Be 0.0000 0.0000 0.0000  2 Cd 2.64, 2 Te 2.64
Cd 0.0000 0.5000 0.5000  4 Be 2.64
Te 0.5000 0.5000 0.0000  4 Be 2.64

Results
E_form (uncorrected)	0.671	eV per atom
excess energy over the best structure of this formula in the dataset	368	meV/atom
total magnetic moment	0.00	μB/f.u.
E_tot	-0.0811	hartree per atom

***

No. 2
VASP calculation (PBE-GGA) on an optimized crystal structure of LaFe2Os.

a b c (Å): 4.0790 2.8627 6.1180
angles (deg): 77.84 90.00 90.00
Last column: nearest neighbours and their distance in Å.
Positions (direct):
Os 0.5000 0.7616 0.8348  4 Fe 2.42-2.66
Fe 0.0000 0.0730 0.9871  2 Fe 2.42, 2 Os 2.48
Fe 0.5000 0.1768 0.1849  2 Fe 2.42, 2 Os 2.42-2.66
La 0.0000 0.4886 0.4932  2 La 2.86, 6 Fe 3.00-3.19, 2 Os 3.13

Results
excess energy over the best structure of this formula in the dataset	323	meV/atom
total magnetic moment	4.39	μB/f.u.
formation enthalpy at 0 K	409	meV/atom
E_tot	-0.2889	hartree per atom

***

No. 3
VASP calculation (PBE-GGA) on an optimized crystal structure of PaNbSi.

a b c (Å): 3.2853 5.9908 6.3662
angles (deg): 96.77 103.03 101.60
Last column: nearest neighbours and their distance in Å.
Positions (direct):
Nb 0.2933 0.9725 0.3516  4 Si 2.62-2.87
Nb 0.5845 0.1314 0.9373  4 Si 2.62-2.87
Si 0.9160 0.8484 0.6544  1 Si 2.43, 2 Nb 2.62-2.63
Si 0.9618 0.2555 0.6344  1 Si 2.43, 2 Nb 2.62-2.63
Pa 0.5289 0.6318 0.9572  1 Pa 2.81, 3 Si 2.84-3.06, 2 Nb 2.98-3.03
Pa 0.3489 0.4721 0.3317  1 Pa 2.81, 3 Si 2.84-3.06, 2 Nb 2.98-3.03

Results
E_form (uncorrected)	-0.182	eV per atom
excess energy over the best structure of this formula in the dataset	246	meV/atom
total magnetic moment	0.00	μB/f.u.
E_tot	-0.3128	hartree per atom

***

No. 4
VASP calculation (PBE-GGA) on an optimized crystal structure of SbOs2Au.

a b c (Å): 4.7057 4.7057 3.0461
angles (deg): 90.00 90.00 100.77
Last column: nearest neighbours and their distance in Å.
Positions (direct):
Os 0.0000 0.0000 0.0000  4 Au 2.80, 4 Sb 2.80, 4 Os 3.00-3.05
Os 0.5000 0.5000 0.0000  4 Sb 2.80, 4 Au 2.80, 4 Os 3.00-3.05
Au 0.0000 0.5000 0.5000  8 Os 2.80, 2 Sb 3.00, 2 Au 3.05
Sb 0.5000 0.0000 0.5000  8 Os 2.80, 2 Au 3.00, 2 Sb 3.05

Results
E_form (uncorrected)	0.744	eV per atom
total magnetic moment	0.00	μB/f.u.
E_tot	-0.2470	hartree per atom

***

No. 5
VASP calculation (PBE-GGA) on an optimized crystal structure of Rb3Pr3BiS8.

a b c (Å): 8.3905 8.3902 9.2322
angles (deg): 117.04 89.99 120.01
Last column: nearest neighbours and their distance in Å.
Positions (direct):
Pr 0.0000 0.5000 0.5000  6 S 2.87-2.90
Pr 0.5000 0.0000 0.5000  6 S 2.87-2.90
Pr 0.5000 0.5000 0.5000  6 S 2.87-2.90
Rb 0.5000 0.5000 0.0000  6 S 3.39-3.40
Rb 0.0000 0.0000 0.0000  6 S 3.39-3.40
Rb 0.0000 0.5000 0.0000  6 S 3.39-3.40
S 0.7321 0.4642 0.6962  3 Pr 2.87
S 0.2568 0.0321 0.3074  1 Bi 2.78, 2 Pr 2.90
S 0.2248 0.4495 0.6927  1 Bi 2.78, 2 Pr 2.90
S 0.2248 0.9680 0.6926  1 Bi 2.78, 2 Pr 2.89-2.90
S 0.2679 0.5358 0.3038  3 Pr 2.87
S 0.7752 0.5505 0.3073  1 Bi 2.78, 2 Pr 2.90
S 0.7432 0.9679 0.6926  1 Bi 2.78, 2 Pr 2.90
S 0.7752 0.0320 0.3074  1 Bi 2.78, 2 Pr 2.89-2.90
Bi 0.0000 0.0000 0.5000  6 S 2.78

Results
E_form (uncorrected)	-1.465	eV per atom
total magnetic moment	0.00	μB/f.u.
E_tot	-0.1865	hartree per atom

***

No. 6
VASP calculation (PBE-GGA) on an optimized crystal structure of Tb5PtSe5.

a b c (Å): 5.8314 7.1452 8.2314
angles (deg): 106.71 90.00 114.08
Last column: nearest neighbours and their distance in Å.
Positions (direct):
Tb 0.1607 0.3215 0.3309  5 Se 2.86-2.94, 1 Pt 2.87
Tb 0.1552 0.3103 0.8319  1 Pt 2.79, 5 Se 2.84-2.93
Tb 0.8393 0.6785 0.6691  5 Se 2.86-2.94, 1 Pt 2.87
Tb 0.8448 0.6897 0.1681  1 Pt 2.79, 5 Se 2.84-2.93
Tb 0.5000 0.0000 0.0000  2 Pt 2.92, 4 Se 2.94-2.98
Se 0.3221 0.6442 0.6671  5 Tb 2.90-2.98
Se 0.6719 0.3438 0.8393  5 Tb 2.92-2.94
Se 0.0000 0.0000 0.5000  4 Tb 2.84-2.86
Se 0.6779 0.3558 0.3329  5 Tb 2.90-2.98
Se 0.3281 0.6562 0.1607  5 Tb 2.92-2.94
Pt 0.0000 0.0000 0.0000  6 Tb 2.79-2.92

Results
E_form (uncorrected)	-1.709	eV per atom
total magnetic moment	0.00	μB/f.u.
E_tot	-0.2185	hartree per atom

***

No. 7
VASP calculation (PBE-GGA) on an optimized crystal structure of YHo3Ga4.

a b c (Å): 5.0433 7.0997 10.0867
angles (deg): 90.00 90.00 90.00
Last column: nearest neighbours and their distance in Å.
Positions (direct):
Ho 0.0000 0.0000 0.0000  8 Ga 3.08
Ho 0.5005 0.5000 0.7500  8 Ga 3.09
Ho 0.5007 0.0000 0.7500  8 Ga 3.08
Ho 0.4993 0.0000 0.2500  8 Ga 3.08
Ho 0.0000 0.0000 0.5000  8 Ga 3.08
Ho 0.4995 0.5000 0.2500  8 Ga 3.09
Ga 0.9991 0.7514 0.2500  6 Ho 3.08-3.09, 2 Y 3.09
Ga 0.0009 0.7514 0.7500  6 Ho 3.08-3.09, 2 Y 3.09
Ga 0.5000 0.2486 0.0000  6 Ho 3.08-3.09, 2 Y 3.09
Ga 0.0009 0.2486 0.7500  6 Ho 3.08-3.09, 2 Y 3.09
Ga 0.5000 0.7514 0.5000  6 Ho 3.08-3.09, 2 Y 3.09
Ga 0.9991 0.2486 0.2500  6 Ho 3.08-3.09, 2 Y 3.09
Ga 0.5000 0.7514 0.0000  6 Ho 3.08-3.09, 2 Y 3.09
Ga 0.5000 0.2486 0.5000  6 Ho 3.08-3.09, 2 Y 3.09
Y 0.0000 0.5000 0.5000  8 Ga 3.09
Y 0.0000 0.5000 0.0000  8 Ga 3.09

Results
total magnetic moment	0.00	μB/f.u.
formation enthalpy at 0 K	-586	meV/atom
E_tot	-0.1699	hartree per atom

***

No. 8
VASP calculation (PBE-GGA) on an optimized crystal structure of ZrBrCl2.

a b c (Å): 3.4837 5.3640 7.6184
angles (deg): 88.81 76.86 90.00
Last column: nearest neighbours and their distance in Å.
Positions (direct):
Zr 0.0000 0.0000 0.0000  4 Cl 2.56, 2 Br 2.68
Cl 0.3738 0.9926 0.2537  2 Zr 2.56
Cl 0.6262 0.0074 0.7463  2 Zr 2.56
Br 0.0000 0.5000 0.0000  2 Zr 2.68

Results
E_form (uncorrected)	-1.502	eV per atom
excess energy over the best structure of this formula in the dataset	49	meV/atom
total magnetic moment	0.00	μB/f.u.
E_tot	-0.1830	hartree per atom